{"formula": "TlIn", "functional": "GGA-PBEsol", "state": "relaxed", "cell": [[3.3830, 0.0000, 0.0000], [-1.6915, 6.2164, 0.0254], [0.0000, -1.9594, 7.6716]], "species": ["In", "In", "In", "Tl", "Tl", "Tl"], "fractional_positions": [[0.9951, 0.9902, 0.9978], [0.3320, 0.6640, 0.6694], [0.3952, 0.7904, 0.2761], [0.6732, 0.3464, 0.3348], [0.7198, 0.4397, 0.9459], [0.0513, 0.1027, 0.6094]], "m_tot_mub_per_cell": 0.00, "ef_ev_per_fu": 0.0, "final_energy_ev_per_atom": -2.792}

=====

{"formula": "TlIn2", "functional": "GGA-PBEsol", "state": "relaxed", "cell": [[-4.5848, 0.2887, -2.0226], [-2.8084, -4.1355, -0.4523], [-4.0601, -0.6049, 2.8887]], "species": ["In", "In", "Tl"], "fractional_positions": [[0.2500, 0.2500, 0.2500], [0.7500, 0.7500, 0.7500], [0.0000, 0.0000, 0.0000]], "m_tot_mub_per_cell": 0.00, "ef_ev_per_fu": 0.5, "final_energy_ev_per_atom": -2.707, "e_above_lowest_polymorph_ev_per_fu": 0.453}

=====

{"formula": "Tl2In", "functional": "GGA-PBEsol", "state": "relaxed", "cell": [[3.2668, 0.0000, 0.0000], [0.0000, 3.3071, -0.1415], [-1.6334, -2.4140, 15.3572]], "species": ["In", "In", "Tl", "Tl", "Tl", "Tl"], "fractional_positions": [[0.3733, 0.9957, 0.7465], [0.6267, 0.0043, 0.2535], [0.9526, 0.6516, 0.9052], [0.7932, 0.3374, 0.5864], [0.2068, 0.6626, 0.4136], [0.0474, 0.3484, 0.0948]], "m_tot_mub_per_cell": 0.00, "ef_ev_per_fu": 0.1, "final_energy_ev_per_atom": -2.726}

=====

{"formula": "TlIn", "functional": "GGA-PBEsol", "state": "relaxed", "cell": [[5.1842, 0.0000, 0.0000], [2.5921, 4.4897, 0.0000], [2.5921, 1.4966, 4.6398]], "species": ["Tl", "Tl", "In", "In"], "fractional_positions": [[0.1233, 0.1233, 0.6302], [0.8767, 0.8767, 0.3698], [0.6278, 0.6278, 0.1167], [0.3722, 0.3722, 0.8833]], "m_tot_mub_per_cell": 0.00, "ef_ev_per_fu": 0.1, "final_energy_ev_per_atom": -2.779}

=====

{"formula": "Tl2In", "functional": "GGA-PBEsol", "state": "relaxed", "cell": [[3.3895, 0.0000, 0.0000], [0.0000, 5.3693, 0.0000], [-1.6947, 0.0000, 9.0289]], "species": ["Tl", "Tl", "Tl", "Tl", "In", "In"], "fractional_positions": [[0.7213, 0.2500, 0.4426], [0.0551, 0.2500, 0.1102], [0.2787, 0.7500, 0.5574], [0.9449, 0.7500, 0.8898], [0.6125, 0.7500, 0.2249], [0.3875, 0.2500, 0.7751]], "m_tot_mub_per_cell": 0.00, "ef_ev_per_fu": 0.0, "final_energy_ev_per_atom": -2.734}

=====

{"formula": "Tl2In", "functional": "GGA-PBEsol", "state": "relaxed", "cell": [[3.4091, 0.0000, 0.0000], [-1.7046, 6.2271, 0.0118], [0.0000, -1.9277, 7.7282]], "species": ["Tl", "Tl", "Tl", "Tl", "In", "In"], "fractional_positions": [[0.3631, 0.7262, 0.4730], [0.6369, 0.2738, 0.5270], [0.6905, 0.3811, 0.1370], [0.3095, 0.6189, 0.8630], [0.9687, 0.9375, 0.1902], [0.0313, 0.0625, 0.8098]], "m_tot_mub_per_cell": 0.00, "ef_ev_per_fu": 0.0, "final_energy_ev_per_atom": -2.736}

=====

{"formula": "TlIn", "functional": "GGA-PBEsol", "state": "relaxed", "cell": [[-0.0532, 0.4415, -3.3678], [-1.3917, -5.5640, -0.7074], [-4.5857, 3.8752, 2.2936]], "species": ["In", "In", "Tl", "Tl"], "fractional_positions": [[0.6300, 0.9582, 0.2599], [0.3700, 0.0418, 0.7401], [0.8794, 0.5588, 0.7589], [0.1206, 0.4412, 0.2411]], "m_tot_mub_per_cell": 0.00, "ef_ev_per_fu": 0.0, "final_energy_ev_per_atom": -2.792}

=====

{"formula": "TlIn", "functional": "GGA-PBEsol", "state": "relaxed", "cell": [[-2.7804, -1.6812, 0.3746], [1.4651, -1.2858, -2.6262], [2.4833, -3.4246, 3.0620]], "species": ["Tl", "In"], "fractional_positions": [[0.5000, 0.5000, 0.5000], [0.0000, 0.0000, 0.0000]], "m_tot_mub_per_cell": 0.00, "ef_ev_per_fu": 0.0, "final_energy_ev_per_atom": -2.787}

=====

{"formula": "Tl2In", "functional": "GGA-PBEsol", "state": "relaxed", "cell": [[-3.1387, -1.1982, -0.1283], [0.1769, -0.8120, 3.2577], [-1.0696, 7.4979, 0.1921]], "species": ["Tl", "Tl", "In"], "fractional_positions": [[0.3381, 0.3381, 0.6761], [0.6619, 0.6619, 0.3239], [0.0000, 0.0000, 0.0000]], "m_tot_mub_per_cell": 0.00, "ef_ev_per_fu": 0.0, "final_energy_ev_per_atom": -2.739}

=====

{"formula": "TlIn2", "functional": "GGA-PBEsol", "state": "relaxed", "cell": [[-3.1505, -0.6604, 0.9736], [0.1456, -2.9806, -1.5506], [3.9154, -1.0950, 6.1194]], "species": ["In", "In", "Tl"], "fractional_positions": [[0.3293, 0.3293, 0.6585], [0.6707, 0.6707, 0.3415], [0.0000, 0.0000, 0.0000]], "m_tot_mub_per_cell": 0.00, "ef_ev_per_fu": 0.0, "final_energy_ev_per_atom": -2.858, "e_above_lowest_polymorph_ev_per_fu": 0.000}

=====

{"formula": "Tl8In", "functional": "GGA-PBEsol", "state": "relaxed", "cell": [[4.7230, 0.0000, 0.0000], [2.3615, 7.2597, 0.0000], [2.3615, 0.0000, 7.2597]], "species": ["Tl", "Tl", "Tl", "Tl", "Tl", "Tl", "Tl", "Tl", "In"], "fractional_positions": [[0.3353, 0.3293, 0.0000], [0.6647, 0.6707, 0.0000], [0.3353, 0.0000, 0.3293], [0.0000, 0.3309, 0.6691], [0.3309, 0.6691, 0.6691], [0.0000, 0.6691, 0.3309], [0.6647, 0.0000, 0.6707], [0.6691, 0.3309, 0.3309], [0.0000, 0.0000, 0.0000]], "m_tot_mub_per_cell": 0.00, "ef_ev_per_fu": 0.1, "final_energy_ev_per_atom": -2.655}

=====

{"formula": "TlIn2", "functional": "GGA-PBEsol", "state": "relaxed", "cell": [[-3.1303, 1.0290, 0.4210], [0.5861, -0.3574, 5.2313], [1.1495, 4.5122, -2.4812]], "species": ["In", "In", "Tl"], "fractional_positions": [[0.5000, 0.3333, 0.6667], [0.5000, 0.6667, 0.3333], [0.0000, 0.0000, 0.0000]], "m_tot_mub_per_cell": 0.00, "ef_ev_per_fu": 0.0, "final_energy_ev_per_atom": -2.851, "e_above_lowest_polymorph_ev_per_fu": 0.020}

=====

{"formula": "TlIn2", "functional": "GGA-PBEsol", "state": "relaxed", "cell": [[5.4549, 0.0000, 0.0000], [-2.7274, 4.7241, 0.0000], [0.0000, 0.0000, 6.2295]], "species": ["In", "In", "In", "In", "Tl", "Tl"], "fractional_positions": [[0.6667, 0.3333, 0.7500], [0.0000, 0.0000, 0.5000], [0.0000, 0.0000, 0.0000], [0.3333, 0.6667, 0.2500], [0.6667, 0.3333, 0.2500], [0.3333, 0.6667, 0.7500]], "m_tot_mub_per_cell": 0.00, "ef_ev_per_fu": 0.1, "final_energy_ev_per_atom": -2.821, "e_above_lowest_polymorph_ev_per_fu": 0.112}

=====

{"formula": "Tl2In", "functional": "GGA-PBEsol", "state": "relaxed", "cell": [[-0.6123, -1.2459, -2.9917], [4.8415, -0.7919, -0.6610], [-2.5864, -3.5254, 3.8153]], "species": ["Tl", "Tl", "In"], "fractional_positions": [[0.6660, 0.6660, 0.3319], [0.3340, 0.3340, 0.6681], [0.0000, 0.0000, 0.0000]], "m_tot_mub_per_cell": 0.00, "ef_ev_per_fu": 0.1, "final_energy_ev_per_atom": -2.730}

=====

{"formula": "TlIn", "functional": "GGA-PBEsol", "state": "relaxed", "cell": [[5.1664, 0.0000, 0.0000], [-2.5832, 4.4742, 0.0000], [0.0000, 0.0000, 9.8501]], "species": ["Tl", "Tl", "Tl", "Tl", "In", "In", "In", "In"], "fractional_positions": [[0.6667, 0.3333, 0.5754], [0.3333, 0.6667, 0.4246], [0.3333, 0.6667, 0.0754], [0.6667, 0.3333, 0.9246], [0.0000, 0.0000, 0.7500], [0.6667, 0.3333, 0.2500], [0.0000, 0.0000, 0.2500], [0.3333, 0.6667, 0.7500]], "m_tot_mub_per_cell": 0.00, "ef_ev_per_fu": 0.1, "final_energy_ev_per_atom": -2.738}

=====

{"formula": "TlIn", "functional": "GGA-PBEsol", "state": "relaxed", "cell": [[5.4126, 0.0000, 0.0000], [0.0000, 5.9204, 0.0000], [0.0000, 0.0000, 6.7092]], "species": ["In", "In", "In", "In", "Tl", "Tl", "Tl", "Tl"], "fractional_positions": [[0.2500, 0.4193, 0.6264], [0.7500, 0.0807, 0.1264], [0.2500, 0.9193, 0.8736], [0.7500, 0.5807, 0.3736], [0.7500, 0.5951, 0.8759], [0.7500, 0.0951, 0.6241], [0.2500, 0.4049, 0.1241], [0.2500, 0.9049, 0.3759]], "m_tot_mub_per_cell": 0.00, "ef_ev_per_fu": 0.0, "final_energy_ev_per_atom": -2.791}

=====

{"formula": "TlIn2", "functional": "GGA-PBEsol", "state": "relaxed", "cell": [[3.3876, 0.0000, 0.0000], [-1.6938, 6.0537, -0.0766], [0.0000, -2.1070, 7.7763]], "species": ["In", "In", "In", "In", "Tl", "Tl"], "fractional_positions": [[0.6439, 0.2877, 0.0279], [0.3561, 0.7123, 0.9721], [0.0341, 0.0681, 0.2824], [0.9659, 0.9319, 0.7176], [0.6784, 0.3568, 0.6285], [0.3216, 0.6432, 0.3715]], "m_tot_mub_per_cell": 0.00, "ef_ev_per_fu": 0.0, "final_energy_ev_per_atom": -2.855, "e_above_lowest_polymorph_ev_per_fu": 0.010}

=====

{"formula": "Tl2In", "functional": "GGA-PBEsol", "state": "relaxed", "cell": [[5.8829, 0.0000, 0.0000], [2.9414, 5.3640, 0.0000], [2.9414, 0.0000, 5.3640]], "species": ["Tl", "Tl", "Tl", "Tl", "In", "In"], "fractional_positions": [[0.8512, 0.5000, 0.7976], [0.6488, 0.2024, 0.5000], [0.1488, 0.5000, 0.2024], [0.3512, 0.7976, 0.5000], [0.2500, 0.0000, 0.0000], [0.7500, 0.0000, 0.0000]], "m_tot_mub_per_cell": 0.00, "ef_ev_per_fu": 0.1, "final_energy_ev_per_atom": -2.710}

=====

{"formula": "TlIn2W", "functional": "GGA-PBEsol", "state": "relaxed", "cell": [[2.9885, 0.0000, 0.0413], [0.0000, 5.1427, 0.0000], [-0.0712, 0.0000, 5.3119]], "species": ["In", "In", "W", "Tl"], "fractional_positions": [[0.8746, 0.0000, 0.9507], [0.8751, 0.5000, 0.2907], [0.3752, 0.5000, 0.7935], [0.3751, 0.0000, 0.4651]], "m_tot_mub_per_cell": 0.00, "ef_ev_per_fu": 2.4, "final_energy_ev_per_atom": -4.990, "e_above_lowest_polymorph_ev_per_fu": 0.149}

=====

{"formula": "TlIn2W", "functional": "GGA-PBEsol", "state": "relaxed", "cell": [[-1.5518, 1.2891, -2.2277], [2.3616, -2.5475, -3.1193], [-4.0464, -4.2157, 0.3793]], "species": ["Tl", "In", "In", "W"], "fractional_positions": [[0.5000, 0.5000, 0.0000], [0.0000, 0.0000, 0.2638], [0.0000, 0.0000, 0.7362], [0.5000, 0.5000, 0.5000]], "m_tot_mub_per_cell": 0.00, "ef_ev_per_fu": 2.4, "final_energy_ev_per_atom": -4.998, "e_above_lowest_polymorph_ev_per_fu": 0.118}